The following is a DFT calculation (PBE) of a geometry-optimized LiAcAlTl structure.

Structure (POSCAR):
```
LiAcAlTl
1.0
-2.305 0.066 -4.877
-3.066 -4.144 -1.591
-5.341 0.613 -0.451
Ac Tl Al Li
1 1 1 1
Direct
0.750 0.750 0.750 Ac
0.000 0.000 0.000 Tl
0.500 0.500 0.500 Al
0.250 0.250 0.250 Li
```

Values from the calculation:
* size of the total moment: 0.0 μB/f.u.
* total DFT energy (no corrections): -12.83 eV per cell
* formation energy from the elements: -0.7 eV per formula unit
* space-group type: F-43m
* crystal system: cubic